Model 1:
Density functional theory data (GGA-PBE) for Ga2Br2Cl after structural relaxation.

Computed properties:
V: 26.3 A^3/atom
Crystal system: tetragonal

a = 7.9543 Å, b = 7.9543 Å, c = 4.1602 Å
α = 90.00°, β = 90.00°, γ = 90.00°
With the nearest neighbours (Å) after each atom.
Space group P4/mbm (No. 127)
One atom of each set of equivalent atoms:
Ga: 0.1968 0.3032 0.0000 (multiplicity 4)  2 Br 2.73, 2 Cl 2.88
Br: 0.1456 0.6456 0.5000 (multiplicity 4)  2 Ga 2.73
Cl: 0.0000 0.0000 0.0000 (multiplicity 2)  4 Ga 2.88


Model 2:
Density functional theory data (GGA-PBE) for Ga2Br2Cl after structural relaxation.

Computed properties:
V: 25.9 A^3/atom
Crystal system: tetragonal

a = 5.7482 Å, b = 5.7482 Å, c = 7.8248 Å
α = 90.00°, β = 90.00°, γ = 90.00°
With the nearest neighbours (Å) after each atom.
Space group I4/mmm (No. 139)
One atom of each set of equivalent atoms:
Ga: 0.0000 0.0000 0.1831 (multiplicity 4)  1 Cl 2.48
Br: 0.0000 0.5000 0.2500 (multiplicity 4)  4 Ga 2.92
Cl: 0.0000 0.0000 0.5000 (multiplicity 2)  2 Ga 2.48


model 2 wins, 65 meV per atom ahead of the next structure.


Model 1:
Density functional theory data (GGA-PBE) for Ga2BrCl2 after structural relaxation.

Computed properties:
V: 27.1 A^3/atom
Crystal system: tetragonal

a = 8.1883 Å, b = 8.1883 Å, c = 4.0386 Å
α = 90.00°, β = 90.00°, γ = 90.00°
With the nearest neighbours (Å) after each atom.
Space group P4/mbm (No. 127)
One atom of each set of equivalent atoms:
Ga: 0.2246 0.2754 0.0000 (multiplicity 4)  2 Cl 2.55
Br: 0.0000 0.0000 0.0000 (multiplicity 2)  4 Ga 2.91
Cl: 0.1405 0.6405 0.5000 (multiplicity 4)  2 Ga 2.55


Model 2:
Density functional theory data (GGA-PBE) for Ga2BrCl2 after structural relaxation.

Computed properties:
V: 38.0 A^3/atom
Crystal system: monoclinic

a = 16.0387 Å, b = 7.8216 Å, c = 6.2605 Å
α = 90.00°, β = 104.88°, γ = 90.00°
With the nearest neighbours (Å) after each atom.
Space group C2/c (No. 15)
One atom of each set of equivalent atoms:
Ga: 0.0402 0.1326 0.0871 (multiplicity 8)  1 Cl 2.15
Br: 0.0000 0.3306 0.7500 (multiplicity 4)  2 Ga 2.56
Cl: 0.1766 0.1709 0.2145 (multiplicity 8)  1 Ga 2.15


model 2 wins, 166 meV per atom ahead of the next structure.


Model 1:
Density functional theory data (GGA-PBE) for InGaBrCl after structural relaxation.

Computed properties:
V: 35.5 A^3/atom
Crystal system: trigonal

a = 5.3192 Å, b = 5.3192 Å, c = 34.7997 Å
α = 90.00°, β = 90.00°, γ = 120.00°
With the nearest neighbours (Å) after each atom.
Space group R-3m (No. 166, hexagonal axes)
One atom of each set of equivalent atoms:
In: 0.0000 0.0000 0.1166 (multiplicity 6)  4 Cl 2.86-3.13
Ga: 0.0000 0.0000 0.2902 (multiplicity 6)  4 Br 2.99-3.07, 1 Cl 3.18
Br: 0.0000 0.0000 0.3761 (multiplicity 6)  4 Ga 2.99-3.07
Cl: 0.0000 0.0000 0.1989 (multiplicity 6)  4 In 2.86-3.13, 1 Ga 3.18


Model 2:
Density functional theory data (GGA-PBE) for InGaBrCl after structural relaxation.

Computed properties:
V: 28.2 A^3/atom
Crystal system: cubic

a = 7.6744 Å, b = 7.6744 Å, c = 7.6744 Å
α = 90.00°, β = 90.00°, γ = 90.00°
With the nearest neighbours (Å) after each atom.
Space group F-43m (No. 216)
One atom of each set of equivalent atoms:
In: 0.0000 0.0000 0.0000 (multiplicity 4)  4 Br 3.32, 4 Cl 3.32
Ga: 0.0000 0.0000 0.5000 (multiplicity 4)  4 Cl 3.32, 4 Br 3.32
Br: 0.2500 0.2500 0.7500 (multiplicity 4)  4 Ga 3.32, 4 In 3.32
Cl: 0.2500 0.2500 0.2500 (multiplicity 4)  4 In 3.32, 4 Ga 3.32


model 1 wins, 44 meV per atom ahead of the next structure.


Model 1:
Density functional theory data (GGA-PBE) for KGaBrCl after structural relaxation.

Computed properties:
V: 28.4 A^3/atom
Crystal system: cubic

a = 7.6842 Å, b = 7.6842 Å, c = 7.6842 Å
α = 90.00°, β = 90.00°, γ = 90.00°
With the nearest neighbours (Å) after each atom.
Space group F-43m (No. 216)
One atom of each set of equivalent atoms:
K: 0.0000 0.0000 0.0000 (multiplicity 4)  4 Br 3.33, 4 Cl 3.33
Ga: 0.0000 0.0000 0.5000 (multiplicity 4)  4 Cl 3.33, 4 Br 3.33
Br: 0.2500 0.2500 0.7500 (multiplicity 4)  4 K 3.33, 4 Ga 3.33
Cl: 0.2500 0.2500 0.2500 (multiplicity 4)  4 K 3.33, 4 Ga 3.33


Model 2:
Density functional theory data (GGA-PBE) for KGaBrCl after structural relaxation.

Computed properties:
V: 32.6 A^3/atom
Crystal system: monoclinic

a = 7.6467 Å, b = 4.4110 Å, c = 8.1411 Å
α = 90.00°, β = 108.23°, γ = 90.00°
With the nearest neighbours (Å) after each atom.
Space group Cm (No. 8)
One atom of each set of equivalent atoms:
K: 0.0000 0.0000 0.0000 (multiplicity 2)  3 Cl 3.16-3.17, 3 Br 3.34
Ga: 0.3381 0.5000 0.5174 (multiplicity 2)  3 Br 3.14, 3 Cl 3.15-3.16
Br: 0.4264 0.0000 0.2799 (multiplicity 2)  3 Ga 3.14, 3 K 3.34
Cl: 0.2522 0.0000 0.7572 (multiplicity 2)  3 Ga 3.15-3.16, 3 K 3.16-3.17


model 2 wins, 50 meV per atom ahead of the next structure.


Model 1:
Density functional theory data (GGA-PBE) for GaPBrCl2 after structural relaxation.

Computed properties:
V: 23.6 A^3/atom
Crystal system: tetragonal

a = 4.6444 Å, b = 4.6444 Å, c = 5.4786 Å
α = 90.00°, β = 90.00°, γ = 90.00°
With the nearest neighbours (Å) after each atom.
Space group P4/mmm (No. 123)
One atom of each set of equivalent atoms:
Ga: 0.0000 0.0000 0.0000 (multiplicity 1)  4 Cl 2.32
P: 0.0000 0.0000 0.5000 (multiplicity 1)  2 Ga 2.74
Br: 0.5000 0.5000 0.5000 (multiplicity 1)  4 P 3.28, 8 Cl 3.59
Cl: 0.0000 0.5000 0.0000 (multiplicity 2)  2 Ga 2.32


Model 2:
Density functional theory data (GGA-PBE) for GaPBrCl2 after structural relaxation.

Computed properties:
V: 33.2 A^3/atom
Crystal system: tetragonal

a = 6.0021 Å, b = 6.0021 Å, c = 4.6054 Å
α = 90.00°, β = 90.00°, γ = 90.00°
With the nearest neighbours (Å) after each atom.
Space group P4/mmm (No. 123)
One atom of each set of equivalent atoms:
Ga: 0.0000 0.0000 0.0000 (multiplicity 1)  8 Cl 3.78
P: 0.5000 0.5000 0.0000 (multiplicity 1)  2 Br 2.30
Br: 0.5000 0.5000 0.5000 (multiplicity 1)  2 P 2.30
Cl: 0.0000 0.5000 0.5000 (multiplicity 2)  2 Br 3.00


model 1 wins, 433 meV per atom ahead of the next structure.


Model 1:
Density functional theory data (GGA-PBE) for GeBrCl2 after structural relaxation.

Computed properties:
V: 55.4 A^3/atom
Crystal system: orthorhombic

a = 6.4981 Å, b = 9.2882 Å, c = 7.3476 Å
α = 90.00°, β = 90.00°, γ = 90.00°
With the nearest neighbours (Å) after each atom.
Space group Imm2 (No. 44)
One atom of each set of equivalent atoms:
Ge: 0.0000 0.0000 0.0000 (multiplicity 2)  2 Cl 2.23, 1 Br 2.43
Br: 0.0000 0.0000 0.6689 (multiplicity 2)  1 Ge 2.43
Cl: 0.0000 0.2004 0.1675 (multiplicity 4)  1 Ge 2.23


Model 2:
Density functional theory data (GGA-PBE) for GeBrCl2 after structural relaxation.

Computed properties:
V: 27.2 A^3/atom
Crystal system: trigonal

a = 3.2563 Å, b = 3.2563 Å, c = 35.5895 Å
α = 90.00°, β = 90.00°, γ = 120.00°
With the nearest neighbours (Å) after each atom.
Space group R-3m (No. 166, hexagonal axes)
One atom of each set of equivalent atoms:
Ge: 0.0000 0.0000 0.0000 (multiplicity 3)  2 Cl 2.19
Br: 0.0000 0.0000 0.5000 (multiplicity 3)  6 Br 3.26
Cl: 0.0000 0.0000 0.0616 (multiplicity 6)  1 Ge 2.19


Model 3:
Density functional theory data (GGA-PBE) for GeBrCl2 after structural relaxation.

Computed properties:
V: 22.8 A^3/atom
Crystal system: cubic

a = 7.1481 Å, b = 7.1481 Å, c = 7.1481 Å
α = 90.00°, β = 90.00°, γ = 90.00°
With the nearest neighbours (Å) after each atom.
Space group Fm-3m (No. 225)
One atom of each set of equivalent atoms:
Ge: 0.0000 0.0000 0.0000 (multiplicity 4)  8 Cl 3.10
Br: 0.0000 0.0000 0.5000 (multiplicity 4)  8 Cl 3.10
Cl: 0.2500 0.2500 0.2500 (multiplicity 8)  4 Ge 3.10, 4 Br 3.10


model 1 wins, 486 meV per atom ahead of the next structure.


Model 1:
Density functional theory data (GGA-PBE) for Ge3BrCl after structural relaxation.

Computed properties:
V: 29.9 A^3/atom
Crystal system: cubic

a = 5.3084 Å, b = 5.3084 Å, c = 5.3084 Å
α = 90.00°, β = 90.00°, γ = 90.00°
With the nearest neighbours (Å) after each atom.
Space group Pm-3m (No. 221)
One atom of each set of equivalent atoms:
Ge: 0.0000 0.0000 0.5000 (multiplicity 3)  2 Br 2.65
Br: 0.0000 0.0000 0.0000 (multiplicity 1)  6 Ge 2.65
Cl: 0.5000 0.5000 0.5000 (multiplicity 1)  12 Ge 3.75


Model 2:
Density functional theory data (GGA-PBE) for Ge3BrCl after structural relaxation.

Computed properties:
V: 27.7 A^3/atom
Crystal system: cubic

a = 5.1768 Å, b = 5.1768 Å, c = 5.1768 Å
α = 90.00°, β = 90.00°, γ = 90.00°
With the nearest neighbours (Å) after each atom.
Space group Pm-3m (No. 221)
One atom of each set of equivalent atoms:
Ge: 0.0000 0.0000 0.5000 (multiplicity 3)  2 Cl 2.59
Br: 0.5000 0.5000 0.5000 (multiplicity 1)  12 Ge 3.66
Cl: 0.0000 0.0000 0.0000 (multiplicity 1)  6 Ge 2.59


model 2 wins, 100 meV per atom ahead of the next structure.


Model 1:
Density functional theory data (GGA-PBE) for Ge2Br3Cl after structural relaxation.

Computed properties:
V: 34.0 A^3/atom
Crystal system: monoclinic

a = 18.6997 Å, b = 4.0254 Å, c = 14.0928 Å
α = 90.00°, β = 129.80°, γ = 90.00°
With the nearest neighbours (Å) after each atom.
Space group C2/m (No. 12)
One atom of each set of equivalent atoms:
Ge: 0.1144 0.0000 0.3743 (multiplicity 4)  3 Br 2.60-2.74, 2 Cl 2.88
Ge: 0.1187 0.5000 0.8798 (multiplicity 4)  1 Cl 2.44
Br: 0.0476 0.0000 0.6806 (multiplicity 4)  1 Ge 2.60
Br: 0.1763 0.0000 0.0470 (multiplicity 4)  2 Ge 2.74
Br: 0.1774 0.5000 0.5426 (multiplicity 4)  2 Ge 2.74
Cl: 0.0378 0.5000 0.1853 (multiplicity 4)  1 Ge 2.44


Model 2:
Density functional theory data (GGA-PBE) for Ge2Br3Cl after structural relaxation.

Computed properties:
V: 40.4 A^3/atom
Crystal system: monoclinic

a = 28.7847 Å, b = 3.9656 Å, c = 8.5352 Å
α = 90.00°, β = 95.82°, γ = 90.00°
With the nearest neighbours (Å) after each atom.
Space group C2/m (No. 12)
One atom of each set of equivalent atoms:
Ge: 0.0524 0.0000 0.1805 (multiplicity 4)  3 Br 2.45-2.70
Ge: 0.1872 0.5000 0.3088 (multiplicity 4)  1 Cl 2.24
Br: 0.0323 0.0000 0.8126 (multiplicity 4)  1 Ge 2.45
Br: 0.0689 0.5000 0.3943 (multiplicity 4)  2 Ge 2.70
Br: 0.2468 0.0000 0.2661 (multiplicity 4)  2 Ge 2.67
Cl: 0.1517 0.5000 0.0629 (multiplicity 4)  1 Ge 2.24


model 1 wins, 62 meV per atom ahead of the next structure.


Model 1:
Density functional theory data (GGA-PBE) for Ge2BrCl3 after structural relaxation.

Computed properties:
V: 36.2 A^3/atom
Crystal system: monoclinic

a = 19.8282 Å, b = 5.6848 Å, c = 7.7362 Å
α = 90.00°, β = 95.31°, γ = 90.00°
With the nearest neighbours (Å) after each atom.
Space group C2/m (No. 12)
One atom of each set of equivalent atoms:
Ge: 0.0966 0.0000 0.0489 (multiplicity 4)  1 Cl 2.28
Ge: 0.1915 0.5000 0.3403 (multiplicity 4)  1 Cl 2.20
Br: 0.1161 0.5000 0.0404 (multiplicity 4)  3 Ge 2.64-2.87
Cl: 0.0122 0.0000 0.2297 (multiplicity 4)  1 Ge 2.28
Cl: 0.1103 0.5000 0.5155 (multiplicity 4)  1 Ge 2.20
Cl: 0.1916 0.0000 0.2981 (multiplicity 4)  3 Ge 2.57-2.86


Model 2:
Density functional theory data (GGA-PBE) for Ge2BrCl3 after structural relaxation.

Computed properties:
V: 33.3 A^3/atom
Crystal system: monoclinic

a = 18.9968 Å, b = 3.9384 Å, c = 13.5872 Å
α = 90.00°, β = 128.25°, γ = 90.00°
With the nearest neighbours (Å) after each atom.
Space group C2/m (No. 12)
One atom of each set of equivalent atoms:
Ge: 0.1359 0.0000 0.3839 (multiplicity 4)  3 Cl 2.38-2.58
Ge: 0.1378 0.5000 0.8726 (multiplicity 4)  1 Cl 2.39
Br: 0.0810 0.0000 0.7024 (multiplicity 4)  2 Ge 2.70
Cl: 0.0751 0.5000 0.2286 (multiplicity 4)  2 Ge 2.58
Cl: 0.2166 0.0000 0.0744 (multiplicity 4)  1 Ge 2.39
Cl: 0.2275 0.5000 0.5883 (multiplicity 4)  1 Ge 2.38


model 2 wins, 29 meV per atom ahead of the next structure.


Model 1:
Density functional theory data (GGA-PBE) for NaGeBrCl2 after structural relaxation.

Computed properties:
V: 30.8 A^3/atom
Crystal system: monoclinic

a = 6.6993 Å, b = 5.3883 Å, c = 8.8187 Å
α = 90.00°, β = 104.47°, γ = 90.00°
With the nearest neighbours (Å) after each atom.
Space group P2_1/m (No. 11)
One atom of each set of equivalent atoms:
Na: 0.1373 0.2500 0.3957 (multiplicity 2)  4 Cl 2.75-3.05, 1 Br 2.96
Ge: 0.2045 0.2500 0.9448 (multiplicity 2)  4 Cl 2.49-2.79, 1 Br 2.60
Br: 0.4606 0.2500 0.2207 (multiplicity 2)  1 Ge 2.60
Cl: 0.0475 0.7500 0.3589 (multiplicity 2)  3 Na 2.75-2.76, 1 Ge 2.79
Cl: 0.1057 0.7500 0.9471 (multiplicity 2)  3 Ge 2.49-2.78


Model 2:
Density functional theory data (GGA-PBE) for NaGeBrCl2 after structural relaxation.

Computed properties:
V: 41.0 A^3/atom
Crystal system: tetragonal

a = 6.4589 Å, b = 6.4589 Å, c = 4.9171 Å
α = 90.00°, β = 90.00°, γ = 90.00°
With the nearest neighbours (Å) after each atom.
Space group P4/mmm (No. 123)
One atom of each set of equivalent atoms:
Na: 0.0000 0.0000 0.0000 (multiplicity 1)  8 Cl 4.06
Ge: 0.5000 0.5000 0.0000 (multiplicity 1)  2 Br 2.46
Br: 0.5000 0.5000 0.5000 (multiplicity 1)  2 Ge 2.46
Cl: 0.0000 0.5000 0.5000 (multiplicity 2)  2 Br 3.23


model 1 wins, 923 meV per atom ahead of the next structure.


Model 1:
Density functional theory data (GGA-PBE) for GeSeBr2Cl after structural relaxation.

Computed properties:
V: 28.4 A^3/atom
Crystal system: tetragonal

a = 5.0761 Å, b = 5.0761 Å, c = 5.5047 Å
α = 90.00°, β = 90.00°, γ = 90.00°
With the nearest neighbours (Å) after each atom.
Space group P4/mmm (No. 123)
One atom of each set of equivalent atoms:
Ge: 0.0000 0.0000 0.0000 (multiplicity 1)  4 Se 3.59, 8 Br 3.74
Se: 0.5000 0.5000 0.0000 (multiplicity 1)  2 Cl 2.75
Br: 0.0000 0.5000 0.5000 (multiplicity 2)  2 Cl 2.54
Cl: 0.5000 0.5000 0.5000 (multiplicity 1)  4 Br 2.54, 2 Se 2.75


Model 2:
Density functional theory data (GGA-PBE) for GeSeBr2Cl after structural relaxation.

Computed properties:
V: 28.9 A^3/atom
Crystal system: tetragonal

a = 5.1632 Å, b = 5.1632 Å, c = 5.4279 Å
α = 90.00°, β = 90.00°, γ = 90.00°
With the nearest neighbours (Å) after each atom.
Space group P4/mmm (No. 123)
One atom of each set of equivalent atoms:
Ge: 0.0000 0.0000 0.0000 (multiplicity 1)  4 Br 2.58, 2 Se 2.71
Se: 0.0000 0.0000 0.5000 (multiplicity 1)  2 Ge 2.71
Br: 0.0000 0.5000 0.0000 (multiplicity 2)  2 Ge 2.58
Cl: 0.5000 0.5000 0.5000 (multiplicity 1)  4 Se 3.65, 8 Br 3.75


model 2 wins, 419 meV per atom ahead of the next structure.


Model 1:
Density functional theory data (GGA-PBE) for HBrCl2 after structural relaxation.

Computed properties:
V: 23.9 A^3/atom
Crystal system: trigonal

a = 3.1230 Å, b = 3.1230 Å, c = 33.8889 Å
α = 90.00°, β = 90.00°, γ = 120.00°
With the nearest neighbours (Å) after each atom.
Space group R-3m (No. 166, hexagonal axes)
One atom of each set of equivalent atoms:
H: 0.0000 0.0000 0.0000 (multiplicity 3)  2 Cl 1.56
Br: 0.0000 0.0000 0.5000 (multiplicity 3)  6 Br 3.12
Cl: 0.0000 0.0000 0.0460 (multiplicity 6)  1 H 1.56


Model 2:
Density functional theory data (GGA-PBE) for HBrCl2 after structural relaxation.

Computed properties:
V: 22.0 A^3/atom
Crystal system: cubic

a = 7.0602 Å, b = 7.0602 Å, c = 7.0602 Å
α = 90.00°, β = 90.00°, γ = 90.00°
With the nearest neighbours (Å) after each atom.
Space group Fm-3m (No. 225)
One atom of each set of equivalent atoms:
H: 0.0000 0.0000 0.0000 (multiplicity 4)  8 Cl 3.06
Br: 0.0000 0.0000 0.5000 (multiplicity 4)  8 Cl 3.06
Cl: 0.2500 0.2500 0.2500 (multiplicity 8)  4 H 3.06, 4 Br 3.06


model 1 wins, 943 meV per atom ahead of the next structure.